The following is a PBE-GGA calculation of a geometry-optimized Er2PuSc structure, from the Alexandria database.

Lattice parameters (Å, degrees): 3.4364 3.4364 33.0849 90.00 90.00 120.00
Last column: nearest neighbours and their distance in Å.
Space group R3m (No. 160, hexagonal axes)
Asymmetric unit:
Er (0.0000, 0.0000, 0.0000) (multiplicity 3)  3 Sc 3.33, 3 Pu 3.44, 6 Er 3.44
Er (0.0000, 0.0000, 0.1628) (multiplicity 3)  3 Sc 3.36, 6 Er 3.44, 3 Pu 3.46
Pu (0.0000, 0.0000, 0.5819) (multiplicity 3)  6 Er 3.44-3.46, 6 Pu 3.44
Sc (0.0000, 0.0000, 0.7477) (multiplicity 3)  6 Er 3.33-3.36, 6 Sc 3.44

energy above the most stable polymorph in this dataset = 0 meV per atom
density of states at the Fermi level = 2.942 states/eV/atom
crystal system = trigonal
formation energy from the elements = 0.098 eV/atom